<P>
Compound: Dy3Y2Ho3
Source: the Alexandria database
Functional: PBE-GGA
Structure: optimized geometry

Properties
* M_tot: 0.000 μB per formula unit
* SG: C2/m, No. 12

a b c (Å): 3.558 6.164 12.021
angles (deg): 75.16 81.49 89.98
Positions (direct):
Dy  0.623  0.958  0.752
Dy  0.500  0.500  0.000
Ho  0.000  0.000  0.000
Y  0.250  0.250  0.500
Ho  0.124  0.457  0.752
Dy  0.377  0.042  0.248
Y  0.750  0.750  0.500
Ho  0.876  0.543  0.248

<Q>
Compound: Dy3Y2Ho3
Source: the Alexandria database
Functional: PBE-GGA
Structure: optimized geometry

Properties
* M_tot: 0.000 μB per formula unit
* SG: Immm, No. 71

a b c (Å): 5.010 5.010 10.636
angles (deg): 103.61 103.62 90.00
Positions (direct):
Ho  0.124  0.124  0.248
Ho  0.000  0.500  0.000
Y  0.250  0.750  0.500
Dy  0.500  0.000  0.000
Y  0.750  0.250  0.500
Ho  0.876  0.876  0.752
Dy  0.624  0.624  0.248
Dy  0.376  0.376  0.752

Stability check: which of them is most stable? <P>.

<P>
Compound: Dy3YHo4
Source: the Alexandria database
Functional: PBE-GGA
Structure: optimized geometry

Properties
* M_tot: 0.000 μB per formula unit
* SG: Pmn2_1, No. 31

a b c (Å): 6.265 7.246 11.201
angles (deg): 90.00 90.00 90.00
Positions (direct):
Ho  0.648  0.124  0.000
Ho  0.980  0.124  0.749
Dy  0.982  0.626  0.250
Ho  0.480  0.876  0.751
Ho  0.980  0.124  0.251
Ho  0.148  0.876  0.500
Y  0.648  0.626  0.500
Ho  0.147  0.876  0.000
Dy  0.148  0.374  0.500
Ho  0.480  0.876  0.249
Ho  0.647  0.124  0.500
Dy  0.482  0.374  0.250
Dy  0.648  0.626  0.000
Dy  0.482  0.374  0.750
Dy  0.982  0.626  0.750
Y  0.148  0.374  0.000

<Q>
Compound: Dy3YHo4
Source: the Alexandria database
Functional: PBE-GGA
Structure: optimized geometry

Properties
* M_tot: 0.000 μB per formula unit
* SG: C2/m, No. 12

a b c (Å): 5.612 3.549 13.281
angles (deg): 89.94 102.20 90.00
Positions (direct):
Dy  0.845  0.000  0.690
Dy  0.000  0.500  0.000
Y  0.500  0.000  0.000
Ho  0.396  0.500  0.792
Ho  0.724  0.501  0.447
Dy  0.155  0.000  0.310
Ho  0.604  0.500  0.208
Ho  0.276  0.499  0.553

Stability check: which of them is most stable? <P>.

<P>
Compound: Dy8YHo2
Source: the Alexandria database
Functional: PBE-GGA
Structure: optimized geometry

Properties
* M_tot: 0.000 μB per formula unit
* SG: C2/m, No. 12

a b c (Å): 5.894 9.056 9.407
angles (deg): 61.23 73.37 53.52
Positions (direct):
Dy  0.288  0.445  0.000
Dy  0.500  0.796  0.408
Dy  0.197  0.903  0.753
Ho  0.000  0.689  0.621
Y  0.500  0.000  0.000
Dy  0.500  0.204  0.592
Ho  0.000  0.311  0.379
Dy  0.712  0.555  0.000
Dy  0.803  0.097  0.247
Dy  0.803  0.344  0.753
Dy  0.197  0.656  0.247

<Q>
Compound: Dy8YHo2
Source: the Alexandria database
Functional: PBE-GGA
Structure: optimized geometry

Properties
* M_tot: 0.000 μB per formula unit
* SG: Amm2, No. 38

a b c (Å): 5.377 8.331 8.331
angles (deg): 104.98 90.03 90.03
Positions (direct):
Dy  0.500  0.974  0.703
Dy  0.000  0.339  0.339
Ho  0.500  0.623  0.383
Y  0.000  0.003  0.003
Ho  0.500  0.383  0.623
Dy  0.500  0.032  0.303
Dy  0.000  0.258  0.750
Dy  0.000  0.750  0.258
Dy  0.500  0.703  0.974
Dy  0.500  0.303  0.032
Dy  0.000  0.667  0.667

Stability check: which of them is most stable? <P>.

<P>
Compound: Dy6Y3Ho2
Source: the Alexandria database
Functional: PBE-GGA
Structure: optimized geometry

Properties
* M_tot: 0.000 μB per formula unit
* SG: I4/mmm, No. 139

a b c (Å): 4.722 4.722 16.855
angles (deg): 98.05 98.05 90.00
Positions (direct):
Dy  0.880  0.380  0.760
Ho  0.546  0.546  0.092
Dy  0.120  0.620  0.240
Y  0.000  0.000  0.000
Dy  0.620  0.120  0.240
Dy  0.306  0.306  0.613
Dy  0.694  0.694  0.387
Y  0.798  0.798  0.597
Y  0.202  0.202  0.403
Ho  0.454  0.454  0.908
Dy  0.380  0.880  0.760

<Q>
Compound: Dy6Y3Ho2
Source: the Alexandria database
Functional: PBE-GGA
Structure: optimized geometry

Properties
* M_tot: 0.000 μB per formula unit
* SG: R-3m, No. 166

a b c (Å): 3.552 3.552 31.876
angles (deg): 86.81 86.81 60.00
Positions (direct):
Dy  0.364  0.364  0.909
Dy  0.182  0.182  0.455
Dy  0.091  0.091  0.726
Dy  0.636  0.636  0.091
Ho  0.545  0.545  0.364
Y  0.000  0.000  0.000
Dy  0.818  0.818  0.545
Y  0.272  0.272  0.183
Dy  0.909  0.909  0.274
Ho  0.455  0.455  0.636
Y  0.728  0.728  0.817

Stability check: which of them is most stable? <Q>.